1.
Here is an optimized crystal structure of K2PaTlSe4 from Alexandria via LeMat-Bulk. Energies are from PBE-GGA.

Lattice parameters (Å, degrees): 4.3685 8.0104 7.8680 108.17 90.00 90.00
Closest atoms and distances in Å follow each position.
Sites, in units of the cell vectors:
K 0.5000 0.0000 0.5000  6 Se 3.52-3.73
K 0.0000 0.5000 0.5000  6 Se 3.24-3.25
Pa 0.5000 0.5000 0.0000  6 Se 2.70-2.89
Tl 0.0000 0.0000 0.0000  6 Se 3.23-3.24
Se 0.5000 0.2883 0.2080  1 Pa 2.70
Se 0.5000 0.7117 0.7920  1 Pa 2.70
Se 0.0000 0.2959 0.7980  2 Pa 2.89
Se 0.0000 0.7041 0.2020  2 Pa 2.89

Summary:
magnetic moment	0.00	μB per formula unit
calculated total energy	-37.6	eV per cell
SG	P2/m, No. 10

---

2.
Here is an optimized crystal structure of K2Pa3TlSe8 from Alexandria via LeMat-Bulk. Energies are from PBE-GGA.

Lattice parameters (Å, degrees): 8.5424 8.5424 9.4501 63.13 63.13 60.00
Closest atoms and distances in Å follow each position.
Sites, in units of the cell vectors:
K 0.1330 0.1330 0.6009  4 Se 3.19-3.28
K 0.4983 0.4983 0.5050  6 Se 3.37-3.38
Pa 0.4993 0.9994 0.0020  6 Se 2.80-2.91
Pa 0.9994 0.4993 0.0020  6 Se 2.80-2.91
Pa 0.4993 0.4993 0.0020  6 Se 2.80-2.91
Tl 0.8738 0.8738 0.3786  3 Se 3.06
Se 0.2688 0.2688 0.1937  3 Pa 2.91
Se 0.7286 0.7286 0.8141  3 Pa 2.89
Se 0.2427 0.2427 0.8153  2 Pa 2.80
Se 0.6993 0.2427 0.8153  2 Pa 2.80
Se 0.2427 0.6993 0.8153  2 Pa 2.80
Se 0.7554 0.2966 0.1926  2 Pa 2.83, 1 Tl 3.06
Se 0.2966 0.7554 0.1926  2 Pa 2.83, 1 Tl 3.06
Se 0.7554 0.7554 0.1926  2 Pa 2.83, 1 Tl 3.06

Summary:
magnetic moment	2.03	μB per formula unit
calculated total energy	-78.6	eV per cell
SG	R3m, No. 160

---

3.
Here is an optimized crystal structure of K3Pa2TlSe6 from Alexandria via LeMat-Bulk. Energies are from PBE-GGA.

Lattice parameters (Å, degrees): 4.2832 9.3962 10.0411 104.14 102.31 90.00
Closest atoms and distances in Å follow each position.
Sites, in units of the cell vectors:
K 0.5000 0.5000 0.0000  6 Se 3.20-3.37
K 0.8467 0.1586 0.6933  6 Se 3.32-3.54
K 0.1533 0.8414 0.3067  6 Se 3.32-3.54
Pa 0.8310 0.6610 0.6620  6 Se 2.72-2.94
Pa 0.1690 0.3390 0.3379  6 Se 2.72-2.94
Tl 0.5000 0.0000 0.0000  6 Se 3.23-3.35
Se 0.3249 0.8636 0.6499  2 Pa 2.89
Se 0.6768 0.5575 0.3535  3 Pa 2.94
Se 0.6751 0.1364 0.3501  2 Pa 2.89
Se 0.0259 0.2656 0.0517  1 Pa 2.72
Se 0.9741 0.7344 0.9483  1 Pa 2.72
Se 0.3232 0.4425 0.6465  3 Pa 2.94

Summary:
magnetic moment	2.01	μB per formula unit
calculated total energy	-60.7	eV per cell
SG	C2/m, No. 12

---

4.
Here is an optimized crystal structure of K3TmPa3Se8 from Alexandria via LeMat-Bulk. Energies are from PBE-GGA.

Lattice parameters (Å, degrees): 8.2697 8.2696 9.2630 116.51 90.00 120.00
Closest atoms and distances in Å follow each position.
Sites, in units of the cell vectors:
K 0.0000 0.0000 0.0000  6 Se 3.30-3.34
K 0.0000 0.5000 0.0000  6 Se 3.30-3.34
K 0.5000 0.5000 0.0000  6 Se 3.30-3.34
Tm 0.0000 0.0000 0.5000  6 Se 2.86
Pa 0.5000 0.0000 0.5000  6 Se 2.89-2.92
Pa 0.5000 0.5000 0.5000  6 Se 2.89-2.92
Pa 0.0000 0.5000 0.5000  6 Se 2.89-2.92
Se 0.2625 0.5250 0.2875  3 Pa 2.92
Se 0.7375 0.4750 0.7125  3 Pa 2.92
Se 0.7673 0.5346 0.2962  1 Tm 2.86, 2 Pa 2.89-2.90
Se 0.2327 0.4654 0.7038  1 Tm 2.86, 2 Pa 2.89-2.90
Se 0.7673 0.0289 0.2962  1 Tm 2.86, 2 Pa 2.89
Se 0.2327 0.9711 0.7038  1 Tm 2.86, 2 Pa 2.89
Se 0.2616 0.0289 0.2962  1 Tm 2.86, 2 Pa 2.89-2.90
Se 0.7384 0.9711 0.7038  1 Tm 2.86, 2 Pa 2.89-2.90

Summary:
magnetic moment	5.03	μB per formula unit
calculated total energy	-85.8	eV per cell
SG	R-3m, No. 166

---

5.
Here is an optimized crystal structure of KTmPaSe4 from Alexandria via LeMat-Bulk. Energies are from PBE-GGA.

Lattice parameters (Å, degrees): 8.9200 8.6997 8.6359 119.76 90.00 120.84
Closest atoms and distances in Å follow each position.
Sites, in units of the cell vectors:
K 0.8846 0.7693 0.1346  4 Se 3.05-3.07
K 0.1154 0.2307 0.8654  4 Se 3.05-3.07
Tm 0.5000 0.0000 0.5000  6 Se 2.86-2.88
Tm 0.5000 0.0000 0.0000  6 Se 2.86-2.88
Pa 0.5000 0.5000 0.5000  6 Se 2.87-2.90
Pa 0.0000 0.5000 0.5000  6 Se 2.87-2.90
Se 0.7346 0.4693 0.6989  1 Tm 2.88, 2 Pa 2.90, 1 K 3.07
Se 0.3071 0.0326 0.2663  2 Tm 2.86, 1 Pa 2.87, 1 K 3.05
Se 0.7254 0.0326 0.2663  2 Tm 2.86, 1 Pa 2.87, 1 K 3.05
Se 0.7346 0.4693 0.2704  1 Tm 2.88, 2 Pa 2.90, 1 K 3.07
Se 0.2653 0.5307 0.7296  1 Tm 2.88, 2 Pa 2.90, 1 K 3.07
Se 0.6929 0.9674 0.7337  2 Tm 2.86, 1 Pa 2.87, 1 K 3.05
Se 0.2746 0.9674 0.7337  2 Tm 2.86, 1 Pa 2.87, 1 K 3.05
Se 0.2653 0.5307 0.3011  1 Tm 2.88, 2 Pa 2.90, 1 K 3.07

Summary:
magnetic moment	1.01	μB per formula unit
calculated total energy	-79.1	eV per cell
SG	Imma, No. 74

---

6.
Here is an optimized crystal structure of K2Tm2PaSe6 from Alexandria via LeMat-Bulk. Energies are from PBE-GGA.

Lattice parameters (Å, degrees): 7.1722 7.1722 8.2261 98.40 98.40 120.03
Closest atoms and distances in Å follow each position.
Sites, in units of the cell vectors:
K 0.8330 0.1670 0.0000  6 Se 3.35-3.37
K 0.1670 0.8330 0.0000  6 Se 3.35-3.37
Tm 0.3333 0.6667 0.5000  6 Se 2.85-2.86
Tm 0.6667 0.3333 0.5000  6 Se 2.85-2.86
Pa 0.0000 0.0000 0.5000  6 Se 2.87
Se 0.7321 0.7321 0.6996  2 Tm 2.86, 1 Pa 2.87
Se 0.0664 0.4015 0.7000  2 Tm 2.85-2.86, 1 Pa 2.87
Se 0.2679 0.2679 0.3004  2 Tm 2.86, 1 Pa 2.87
Se 0.4015 0.0664 0.7000  2 Tm 2.85-2.86, 1 Pa 2.87
Se 0.9336 0.5985 0.3000  2 Tm 2.85-2.86, 1 Pa 2.87
Se 0.5985 0.9336 0.3000  2 Tm 2.85-2.86, 1 Pa 2.87

Summary:
magnetic moment	1.05	μB per formula unit
calculated total energy	-59.7	eV per cell
SG	C2/m, No. 12

---

What did the first record say?
Here is an optimized crystal structure of K2PaTlSe4 from Alexandria via LeMat-Bulk. Energies are from PBE-GGA.

Lattice parameters (Å, degrees): 4.3685 8.0104 7.8680 108.17 90.00 90.00
Closest atoms and distances in Å follow each position.
Sites, in units of the cell vectors:
K 0.5000 0.0000 0.5000  6 Se 3.52-3.73
K 0.0000 0.5000 0.5000  6 Se 3.24-3.25
Pa 0.5000 0.5000 0.0000  6 Se 2.70-2.89
Tl 0.0000 0.0000 0.0000  6 Se 3.23-3.24
Se 0.5000 0.2883 0.2080  1 Pa 2.70
Se 0.5000 0.7117 0.7920  1 Pa 2.70
Se 0.0000 0.2959 0.7980  2 Pa 2.89
Se 0.0000 0.7041 0.2020  2 Pa 2.89

Summary:
magnetic moment	0.00	μB per formula unit
calculated total energy	-37.6	eV per cell
SG	P2/m, No. 10

---

What did the second record say?
Here is an optimized crystal structure of K2Pa3TlSe8 from Alexandria via LeMat-Bulk. Energies are from PBE-GGA.

Lattice parameters (Å, degrees): 8.5424 8.5424 9.4501 63.13 63.13 60.00
Closest atoms and distances in Å follow each position.
Sites, in units of the cell vectors:
K 0.1330 0.1330 0.6009  4 Se 3.19-3.28
K 0.4983 0.4983 0.5050  6 Se 3.37-3.38
Pa 0.4993 0.9994 0.0020  6 Se 2.80-2.91
Pa 0.9994 0.4993 0.0020  6 Se 2.80-2.91
Pa 0.4993 0.4993 0.0020  6 Se 2.80-2.91
Tl 0.8738 0.8738 0.3786  3 Se 3.06
Se 0.2688 0.2688 0.1937  3 Pa 2.91
Se 0.7286 0.7286 0.8141  3 Pa 2.89
Se 0.2427 0.2427 0.8153  2 Pa 2.80
Se 0.6993 0.2427 0.8153  2 Pa 2.80
Se 0.2427 0.6993 0.8153  2 Pa 2.80
Se 0.7554 0.2966 0.1926  2 Pa 2.83, 1 Tl 3.06
Se 0.2966 0.7554 0.1926  2 Pa 2.83, 1 Tl 3.06
Se 0.7554 0.7554 0.1926  2 Pa 2.83, 1 Tl 3.06

Summary:
magnetic moment	2.03	μB per formula unit
calculated total energy	-78.6	eV per cell
SG	R3m, No. 160

---

Please write out number 2 again, unchanged.
Here is an optimized crystal structure of K2Pa3TlSe8 from Alexandria via LeMat-Bulk. Energies are from PBE-GGA.

Lattice parameters (Å, degrees): 8.5424 8.5424 9.4501 63.13 63.13 60.00
Closest atoms and distances in Å follow each position.
Sites, in units of the cell vectors:
K 0.1330 0.1330 0.6009  4 Se 3.19-3.28
K 0.4983 0.4983 0.5050  6 Se 3.37-3.38
Pa 0.4993 0.9994 0.0020  6 Se 2.80-2.91
Pa 0.9994 0.4993 0.0020  6 Se 2.80-2.91
Pa 0.4993 0.4993 0.0020  6 Se 2.80-2.91
Tl 0.8738 0.8738 0.3786  3 Se 3.06
Se 0.2688 0.2688 0.1937  3 Pa 2.91
Se 0.7286 0.7286 0.8141  3 Pa 2.89
Se 0.2427 0.2427 0.8153  2 Pa 2.80
Se 0.6993 0.2427 0.8153  2 Pa 2.80
Se 0.2427 0.6993 0.8153  2 Pa 2.80
Se 0.7554 0.2966 0.1926  2 Pa 2.83, 1 Tl 3.06
Se 0.2966 0.7554 0.1926  2 Pa 2.83, 1 Tl 3.06
Se 0.7554 0.7554 0.1926  2 Pa 2.83, 1 Tl 3.06

Summary:
magnetic moment	2.03	μB per formula unit
calculated total energy	-78.6	eV per cell
SG	R3m, No. 160